Record 1
VASP calculation (GGA-PBE) on a relaxed Tb6Sm2Mg crystal.

Geometry as extended XYZ:
```
18
Lattice="10.590 0.000 0.000 0.000 10.590 0.000 0.000 0.000 5.047" Properties=species:S:1:pos:R:3 pbc="T T T"
Tb 0.007 3.533 0.000
Tb 1.762 5.302 2.524
Tb 1.773 1.773 2.524
Tb 3.523 7.068 0.000
Tb 3.533 0.007 0.000
Tb 5.289 8.828 2.524
Tb 5.302 1.762 2.524
Tb 7.057 10.584 0.000
Tb 7.068 3.523 0.000
Tb 8.818 8.818 2.524
Tb 8.828 5.289 2.524
Tb 10.584 7.057 0.000
Sm 1.746 8.844 2.524
Sm 3.549 3.549 0.000
Sm 7.041 7.041 0.000
Sm 8.844 1.746 2.524
Mg 0.000 0.000 0.000
Mg 5.295 5.295 2.524
```

Calculated values
relative energy among the computed polymorphs	0.0	meV per atom

Record 2
VASP calculation (GGA-PBE) on a relaxed Ba4OsN4 crystal.

Geometry as extended XYZ:
```
18
Lattice="7.351 0.000 0.000 0.000 7.351 0.000 0.000 0.000 8.898" Properties=species:S:1:pos:R:3 pbc="T T T"
Ba 0.124 1.838 0.628
Ba 1.838 0.124 5.077
Ba 1.838 3.551 5.077
Ba 3.551 1.838 0.628
Ba 3.800 5.513 8.271
Ba 5.513 3.800 3.821
Ba 5.513 7.226 3.821
Ba 7.226 5.513 8.271
Os 1.838 5.513 2.225
Os 5.513 1.838 6.674
N 0.339 5.513 3.318
N 1.838 4.014 1.131
N 1.838 7.011 1.131
N 3.336 5.513 3.318
N 4.014 1.838 5.580
N 5.513 0.339 7.767
N 5.513 3.336 7.767
N 7.011 1.838 5.580
```

Calculated values
ΔE_f (raw)	-2.09	eV/f.u.

Record 3
VASP calculation (GGA-PBE) on a relaxed Er5Th4Sc crystal.

Geometry as extended XYZ:
```
10
Lattice="8.896 -1.758 0.000 8.896 1.758 0.000 -5.319 0.000 10.063" Properties=species:S:1:pos:R:3 pbc="T T T"
Er 0.000 0.000 0.000
Er 0.501 0.000 9.130
Er 3.986 0.000 3.650
Er 8.487 0.000 6.413
Er 11.973 0.000 0.932
Th 0.796 0.000 3.685
Th 6.955 0.000 2.262
Th 5.519 0.000 7.801
Th 11.677 0.000 6.378
Sc -2.660 0.000 5.031
```

Calculated values
relative energy among the computed polymorphs	0.0	meV per atom

Record 4
VASP calculation (GGA-PBE) on a relaxed In2IrOs crystal.

Geometry as extended XYZ:
```
4
Lattice="3.062 0.000 0.000 0.000 4.508 0.000 0.000 0.000 5.146" Properties=species:S:1:pos:R:3 pbc="T T T"
In 0.000 0.000 0.000
In 1.531 0.000 2.573
Ir 0.000 2.254 2.573
Os 1.531 2.254 0.000
```

Calculated values
uncorrected energy	-23.58	eV for the cell shown

Record 5
VASP calculation (GGA-PBE) on a relaxed AcErTeS2 crystal.

Geometry as extended XYZ:
```
5
Lattice="4.902 0.000 0.000 0.000 4.902 0.000 0.000 0.000 7.000" Properties=species:S:1:pos:R:3 pbc="T T T"
Ac 0.000 0.000 0.000
Er 2.451 2.451 2.635
Te 2.451 2.451 5.601
S 0.000 2.451 1.695
S 2.451 0.000 1.695
```

Calculated values
ΔE_f (raw)	-9.34	eV/f.u.

Record 6
VASP calculation (GGA-PBE) on a relaxed Mo2Ru crystal.

Geometry as extended XYZ:
```
6
Lattice="1.340 -7.531 0.000 1.340 7.531 0.000 0.000 0.000 4.567" Properties=species:S:1:pos:R:3 pbc="T T T"
Mo 1.340 6.749 3.425
Mo 1.340 1.881 3.425
Mo 1.340 -1.881 1.142
Mo 1.340 -6.749 1.142
Ru 1.340 3.318 1.142
Ru 1.340 -3.318 3.425
```

Calculated values
relative energy among the computed polymorphs	177.9	meV per atom

Record 7
VASP calculation (GGA-PBE) on a relaxed ScRu3Pt crystal.

Geometry as extended XYZ:
```
5
Lattice="4.758 0.000 0.000 0.000 4.758 0.000 0.000 0.000 4.758" Properties=species:S:1:pos:R:3 pbc="T T T"
Sc 0.000 0.000 0.000
Ru 0.000 2.379 2.379
Ru 2.379 0.000 2.379
Ru 2.379 2.379 0.000
Pt 2.379 2.379 2.379
```

Calculated values
relative energy among the computed polymorphs	0.0	meV per atom

Record 8
VASP calculation (GGA-PBE) on a relaxed BaZr2SiC crystal.

Geometry as extended XYZ:
```
5
Lattice="5.376 0.000 0.000 0.000 5.376 0.000 0.000 0.000 5.283" Properties=species:S:1:pos:R:3 pbc="T T T"
Ba 0.000 0.000 0.000
Zr 0.000 2.688 0.000
Zr 2.688 0.000 0.000
Si 0.000 0.000 2.642
C 2.688 2.688 2.642
```

Calculated values
ΔE_f (raw)	15.77	eV/f.u.

Record 9
VASP calculation (GGA-PBE) on a relaxed PuZnRu2 crystal.

Geometry as extended XYZ:
```
4
Lattice="3.275 0.000 0.000 0.000 3.275 0.000 0.000 0.000 6.114" Properties=species:S:1:pos:R:3 pbc="T T T"
Pu 0.000 0.000 0.000
Zn 0.000 0.000 3.057
Ru 1.638 1.638 1.604
Ru 1.638 1.638 4.511
```

Calculated values
uncorrected energy	-34.47	eV for the cell shown

Record 10
VASP calculation (GGA-PBE) on a relaxed BeSbOs2S crystal.

Geometry as extended XYZ:
```
5
Lattice="4.314 0.000 0.000 0.000 4.314 0.000 0.000 0.000 4.355" Properties=species:S:1:pos:R:3 pbc="T T T"
Be 0.000 0.000 0.000
Sb 0.000 0.000 2.178
Os 0.000 2.157 0.000
Os 2.157 0.000 0.000
S 2.157 2.157 2.178
```

Calculated values
ΔE_f (raw)	6.43	eV/f.u.
relative energy among the computed polymorphs	0.0	meV per atom

Record 11
VASP calculation (GGA-PBE) on a relaxed MgWBr2 crystal.

Geometry as extended XYZ:
```
4
Lattice="3.178 0.000 0.000 0.000 3.178 0.000 0.000 0.000 9.437" Properties=species:S:1:pos:R:3 pbc="T T T"
Mg 0.000 0.000 0.000
W 0.000 0.000 4.719
Br 1.589 1.589 3.107
Br 1.589 1.589 6.330
```

Calculated values
ΔE_f (raw)	2.75	eV/f.u.
relative energy among the computed polymorphs	729.3	meV per atom

Record 12
VASP calculation (GGA-PBE) on a relaxed RbEu3Ir crystal.

Geometry as extended XYZ:
```
5
Lattice="5.847 0.000 0.000 0.000 5.847 0.000 0.000 0.000 5.847" Properties=species:S:1:pos:R:3 pbc="T T T"
Rb 0.000 0.000 0.000
Eu 0.000 2.923 2.923
Eu 2.923 0.000 2.923
Eu 2.923 2.923 0.000
Ir 2.923 2.923 2.923
```

Calculated values
uncorrected energy	-41.19	eV for the cell shown